VASP calculation (GGA-PBE) on crystalline PrTmS3 at its relaxed geometry.

Properties
theoretical density = 5.95 g/cm3
formation energy without anion corrections = -2069 meV/atom
offset from the most stable computed form = 9 meV per atom
electronic total energy = -6.40 eV/atom

Cell: 7.409 3.992 15.332 Å, 90.00 90.00 90.00°
Element x y z (fractional)
Pr 0.143 0.250 0.200
Pr 0.357 0.750 0.700
Pr 0.643 0.250 0.300
Pr 0.857 0.750 0.800
Tm 0.228 0.750 0.457
Tm 0.272 0.250 0.957
Tm 0.728 0.750 0.043
Tm 0.772 0.250 0.543
S 0.012 0.250 0.397
S 0.126 0.750 0.059
S 0.150 0.250 0.786
S 0.350 0.750 0.286
S 0.374 0.250 0.559
S 0.488 0.750 0.897
S 0.512 0.250 0.103
S 0.626 0.750 0.441
S 0.650 0.250 0.714
S 0.850 0.750 0.214
S 0.874 0.250 0.941
S 0.988 0.750 0.603